This record from Alexandria describes an optimized crystal structure of ZrTaMoOs. The functional is PBE.

Structure (extended XYZ):
```
16
Lattice="6.502 0.000 0.000 0.000 6.502 0.000 0.000 0.000 6.502" Properties=species:S:1:pos:R:3 pbc="T T T"
Zr 0.000 0.000 0.000
Zr 0.000 3.251 3.251
Zr 3.251 0.000 3.251
Zr 3.251 3.251 0.000
Ta 0.000 0.000 3.251
Ta 0.000 3.251 0.000
Ta 3.251 0.000 0.000
Ta 3.251 3.251 3.251
Mo 1.626 1.626 1.626
Mo 1.626 4.877 4.877
Mo 4.877 1.626 4.877
Mo 4.877 4.877 1.626
Os 1.626 1.626 4.877
Os 1.626 4.877 1.626
Os 4.877 1.626 1.626
Os 4.877 4.877 4.877
```

Summary:
E_form   -0.332 eV/atom
M_tot   0.0 μB/cell
Space-group type   F-43m

---

This record from Alexandria describes an optimized crystal structure of CaPW2I. The functional is PBE.

Structure (extended XYZ):
```
5
Lattice="4.940 0.000 0.000 0.000 4.940 0.000 0.000 0.000 5.371" Properties=species:S:1:pos:R:3 pbc="T T T"
Ca 0.000 0.000 0.000
P 2.470 2.470 0.000
W 0.000 2.470 2.685
W 2.470 0.000 2.685
I 2.470 2.470 2.685
```

Summary:
M_tot   0.0 μB/cell
Formation energy (no corrections)   2.10 eV per atom
Space-group type   P4/mmm

---

This record from Alexandria describes an optimized crystal structure of PaTcAu. The functional is PBE.

Structure (extended XYZ):
```
3
Lattice="4.532 0.000 0.000 -2.266 3.924 0.000 0.000 0.000 3.407" Properties=species:S:1:pos:R:3 pbc="T T T"
Pa 0.000 0.000 0.000
Tc 0.000 2.616 2.923
Au 2.266 1.308 1.514
```

Summary:
E above lowest polymorph   0.236 eV per atom
E_form   0.041 eV/atom
M_tot   0.0 μB/cell
Space-group type   P3m1

---

This record from Alexandria describes an optimized crystal structure of ReTc3B. The functional is PBE.

Structure (extended XYZ):
```
15
Lattice="6.103 0.000 0.000 -3.052 5.286 0.000 0.000 0.000 6.340" Properties=species:S:1:pos:R:3 pbc="T T T"
Re 0.000 0.000 0.000
Re 0.000 3.524 4.226
Re 3.052 1.762 2.113
Tc -1.282 2.784 0.162
Tc 0.000 1.480 2.275
Tc -1.770 4.546 2.275
Tc 1.770 1.022 4.389
Tc 1.282 2.784 0.162
Tc 0.000 5.004 0.162
Tc 1.770 4.546 2.275
Tc 4.334 1.022 4.389
Tc 3.052 3.242 4.389
B 0.000 0.000 3.997
B 0.000 3.524 1.883
B 3.052 1.762 6.110
```

Summary:
E above lowest polymorph   0.149 eV per atom
E_form   0.160 eV/atom
M_tot   0.0 μB/cell
Space-group type   R3m

---

This record from Alexandria describes an optimized crystal structure of TiCrWCl2. The functional is PBE.

Structure (extended XYZ):
```
5
Lattice="4.710 0.000 0.000 0.000 4.710 0.000 0.000 0.000 5.118" Properties=species:S:1:pos:R:3 pbc="T T T"
Ti 0.000 0.000 0.000
Cr 2.355 2.355 0.000
W 0.000 0.000 2.559
Cl 0.000 2.355 2.559
Cl 2.355 0.000 2.559
```

Summary:
M_tot   4.6 μB/cell
Formation energy (no corrections)   0.99 eV per atom
Space-group type   P4/mmm

---

This record from Alexandria describes an optimized crystal structure of CsTh6Te12. The functional is PBE.

Structure (extended XYZ):
```
19
Lattice="7.526 4.345 3.606 -7.526 4.345 3.606 0.000 -8.690 3.606" Properties=species:S:1:pos:R:3 pbc="T T T"
Cs 0.000 0.000 0.000
Th 0.000 -3.530 4.332
Th -3.057 1.765 4.332
Th -3.057 -1.765 6.484
Th 3.057 1.765 4.332
Th 3.057 -1.765 6.484
Th 0.000 3.530 6.484
Te -2.819 -4.883 5.408
Te -5.638 0.000 5.408
Te -1.974 -1.140 3.644
Te 1.974 -1.140 3.644
Te 0.000 2.279 3.644
Te 2.819 -4.883 5.408
Te -2.819 4.883 5.408
Te 0.000 -2.279 7.173
Te -1.974 1.140 7.173
Te 1.974 1.140 7.173
Te 5.638 0.000 5.408
Te 2.819 4.883 5.408
```

Summary:
M_tot   0.0 μB/cell
Formation energy (no corrections)   -1.07 eV per atom
Space-group type   R-3m